Entry 1:
! PBE Sr3Sn3Au8, relaxed; values from VASP
! - symmetry = Pnnm (58)
! - crystal system = orthorhombic
! - total DFT energy (no corrections) (eV/f.u.) = -51.2
&SYSTEM
  ibrav = 0, nat = 28, ntyp = 3
/
ATOMIC_SPECIES
Sr 87.62 Sr.upf
Sn 118.71 Sn.upf
Au 196.97 Au.upf
ATOMIC_POSITIONS crystal
Sr 0.000 0.000 0.000
Sr 0.005 0.304 0.000
Sr 0.495 0.804 0.500
Sr 0.500 0.500 0.500
Sr 0.505 0.196 0.500
Sr 0.995 0.696 0.000
Sn 0.000 0.500 0.500
Sn 0.155 0.173 0.500
Sn 0.345 0.673 0.000
Sn 0.500 0.000 0.000
Sn 0.655 0.327 0.000
Sn 0.845 0.827 0.500
Au 0.123 0.841 0.500
Au 0.197 0.498 0.000
Au 0.218 0.365 0.500
Au 0.221 0.628 0.500
Au 0.279 0.128 0.000
Au 0.282 0.865 0.000
Au 0.303 0.998 0.500
Au 0.377 0.341 0.000
Au 0.623 0.659 0.000
Au 0.697 0.002 0.500
Au 0.718 0.135 0.000
Au 0.721 0.872 0.000
Au 0.779 0.372 0.500
Au 0.782 0.635 0.500
Au 0.803 0.502 0.000
Au 0.877 0.159 0.500
CELL_PARAMETERS angstrom
9.710 0.000 0.000
0.000 14.362 0.000
0.000 0.000 4.742



Entry 2:
! PBE Ta2Zn2Ni2IrOs, relaxed; values from VASP
! - symmetry = P-4m2 (115)
! - crystal system = tetragonal
! - DFT formation energy (eV per atom) = -0.29
! - magnetization (Bohr magnetons per cell) = 0.00
&SYSTEM
  ibrav = 0, nat = 8, ntyp = 5
/
ATOMIC_SPECIES
Ta 180.95 Ta.upf
Zn 65.41 Zn.upf
Ni 58.69 Ni.upf
Ir 192.22 Ir.upf
Os 190.23 Os.upf
ATOMIC_POSITIONS crystal
Ta 0.000 0.500 0.249
Ta 0.500 0.000 0.751
Zn 0.000 0.500 0.751
Zn 0.500 0.000 0.249
Ni 0.000 0.000 0.500
Ni 0.500 0.500 0.000
Ir 0.500 0.500 0.500
Os 0.000 0.000 0.000
CELL_PARAMETERS angstrom
4.330 0.000 0.000
0.000 4.330 0.000
0.000 0.000 6.133



Entry 3:
! PBE Fe23C6, relaxed; values from VASP
! - symmetry = Fm-3m (225)
! - crystal system = cubic
! - total DFT energy (no corrections) (eV/f.u.) = -245.2
! - magnetization (Bohr magnetons per cell) = 46.40
&SYSTEM
  ibrav = 0, nat = 29, ntyp = 2
/
ATOMIC_SPECIES
Fe 55.84 Fe.upf
C 12.01 C.upf
ATOMIC_POSITIONS crystal
Fe 0.000 0.000 0.000
Fe 0.000 0.000 0.339
Fe 0.000 0.000 0.661
Fe 0.000 0.339 0.000
Fe 0.000 0.339 0.661
Fe 0.000 0.661 0.000
Fe 0.000 0.661 0.339
Fe 0.151 0.616 0.616
Fe 0.250 0.250 0.250
Fe 0.339 0.000 0.000
Fe 0.339 0.000 0.661
Fe 0.339 0.661 0.000
Fe 0.384 0.384 0.384
Fe 0.384 0.384 0.849
Fe 0.384 0.849 0.384
Fe 0.616 0.151 0.616
Fe 0.616 0.616 0.151
Fe 0.616 0.616 0.616
Fe 0.661 0.000 0.000
Fe 0.661 0.000 0.339
Fe 0.661 0.339 0.000
Fe 0.750 0.750 0.750
Fe 0.849 0.384 0.384
C 0.277 0.277 0.723
C 0.277 0.723 0.277
C 0.277 0.723 0.723
C 0.723 0.277 0.277
C 0.723 0.277 0.723
C 0.723 0.723 0.277
CELL_PARAMETERS angstrom
0.000 5.227 5.227
5.227 0.000 5.227
5.227 5.227 0.000



Entry 4:
! PBE Gd3S2NO, relaxed; values from VASP
! - symmetry = C2/m (12)
! - crystal system = monoclinic
! - total DFT energy (no corrections) (eV/f.u.) = -52.1
! - magnetization (Bohr magnetons per cell) = 0.00
&SYSTEM
  ibrav = 0, nat = 14, ntyp = 4
/
ATOMIC_SPECIES
Gd 157.25 Gd.upf
S 32.06 S.upf
N 14.01 N.upf
O 16.00 O.upf
ATOMIC_POSITIONS crystal
Gd 0.050 0.050 0.266
Gd 0.199 0.199 0.671
Gd 0.388 0.388 0.054
Gd 0.612 0.612 0.946
Gd 0.801 0.801 0.329
Gd 0.950 0.950 0.734
S 0.214 0.214 0.153
S 0.366 0.366 0.528
S 0.634 0.634 0.472
S 0.786 0.786 0.847
N 0.097 0.097 0.807
N 0.903 0.903 0.193
O 0.462 0.462 0.860
O 0.538 0.538 0.140
CELL_PARAMETERS angstrom
7.633 -1.934 0.000
7.633 1.934 0.000
-1.525 0.000 9.484



Entry 5:
! PBE Li4Cu2SiSn, relaxed; values from VASP
! - symmetry = P-4m2 (115)
! - crystal system = tetragonal
! - total DFT energy (no corrections) (eV/f.u.) = -26.9
&SYSTEM
  ibrav = 0, nat = 8, ntyp = 4
/
ATOMIC_SPECIES
Li 6.94 Li.upf
Cu 63.55 Cu.upf
Si 28.09 Si.upf
Sn 118.71 Sn.upf
ATOMIC_POSITIONS crystal
Li 0.000 0.000 0.000
Li 0.000 0.500 0.226
Li 0.500 0.000 0.774
Li 0.500 0.500 0.500
Cu 0.000 0.500 0.781
Cu 0.500 0.000 0.219
Si 0.500 0.500 0.000
Sn 0.000 0.000 0.500
CELL_PARAMETERS angstrom
4.212 0.000 0.000
0.000 4.212 0.000
0.000 0.000 6.082



Entry 6:
! PBE CuBi2Sb, relaxed; values from VASP
! - symmetry = F-43m (216)
! - crystal system = cubic
! - total DFT energy (no corrections) (eV/f.u.) = -14.5
&SYSTEM
  ibrav = 0, nat = 4, ntyp = 3
/
ATOMIC_SPECIES
Cu 63.55 Cu.upf
Bi 208.98 Bi.upf
Sb 121.76 Sb.upf
ATOMIC_POSITIONS crystal
Cu 0.000 0.000 0.000
Bi 0.250 0.250 0.250
Bi 0.500 0.500 0.500
Sb 0.750 0.750 0.750
CELL_PARAMETERS angstrom
0.000 3.761 3.761
3.761 0.000 3.761
3.761 3.761 0.000



Entry 7:
! PBE ScFeAgSn, relaxed; values from VASP
! - symmetry = F-43m (216)
! - crystal system = cubic
! - distance to the lowest polymorph of the same formula (meV/atom) = 44.6
! - magnetization (Bohr magnetons per cell) = 2.43
&SYSTEM
  ibrav = 0, nat = 4, ntyp = 4
/
ATOMIC_SPECIES
Sc 44.96 Sc.upf
Fe 55.84 Fe.upf
Ag 107.87 Ag.upf
Sn 118.71 Sn.upf
ATOMIC_POSITIONS crystal
Sc 0.000 0.000 0.000
Fe 0.500 0.500 0.500
Ag 0.750 0.750 0.750
Sn 0.250 0.250 0.250
CELL_PARAMETERS angstrom
0.000 3.274 3.274
3.274 0.000 3.274
3.274 3.274 0.000



Entry 8:
! PBE TbPrSi4Ni2, relaxed; values from VASP
! - symmetry = Amm2 (38)
! - crystal system = orthorhombic
! - total DFT energy (no corrections) (eV/f.u.) = -48.8
! - magnetization (Bohr magnetons per cell) = 0.00
&SYSTEM
  ibrav = 0, nat = 8, ntyp = 4
/
ATOMIC_SPECIES
Tb 158.93 Tb.upf
Pr 140.91 Pr.upf
Si 28.09 Si.upf
Ni 58.69 Ni.upf
ATOMIC_POSITIONS crystal
Tb 0.000 0.000 0.000
Pr 0.500 0.788 0.788
Si 0.000 0.354 0.354
Si 0.000 0.642 0.642
Si 0.500 0.141 0.141
Si 0.500 0.435 0.435
Ni 0.000 0.212 0.212
Ni 0.500 0.573 0.573
CELL_PARAMETERS angstrom
4.039 0.000 0.000
0.000 2.051 8.196
0.000 -2.051 8.196



Entry 9:
! PBE Li2PdO3, relaxed; values from VASP
! - symmetry = R-3c (167)
! - crystal system = trigonal
! - distance to the lowest polymorph of the same formula (meV/atom) = 89.3
&SYSTEM
  ibrav = 0, nat = 12, ntyp = 3
/
ATOMIC_SPECIES
Li 6.94 Li.upf
Pd 106.42 Pd.upf
O 16.00 O.upf
ATOMIC_POSITIONS crystal
Li 0.172 0.172 0.172
Li 0.328 0.328 0.328
Li 0.672 0.672 0.672
Li 0.828 0.828 0.828
Pd 0.000 0.000 0.000
Pd 0.500 0.500 0.500
O 0.086 0.750 0.414
O 0.250 0.586 0.914
O 0.414 0.086 0.750
O 0.586 0.914 0.250
O 0.750 0.414 0.086
O 0.914 0.250 0.586
CELL_PARAMETERS angstrom
2.462 1.422 4.908
-2.462 1.422 4.908
0.000 -2.843 4.908



Entry 10:
! PBE ScNb2, relaxed; values from VASP
! - symmetry = Fd-3m (227)
! - crystal system = cubic
! - distance to the lowest polymorph of the same formula (meV/atom) = 3840.7
! - DFT formation energy (eV per atom) = 3.99
! - magnetization (Bohr magnetons per cell) = 9.19
&SYSTEM
  ibrav = 0, nat = 6, ntyp = 2
/
ATOMIC_SPECIES
Sc 44.96 Sc.upf
Nb 92.91 Nb.upf
ATOMIC_POSITIONS crystal
Sc 0.125 0.125 0.125
Sc 0.875 0.875 0.875
Nb 0.000 0.000 0.000
Nb 0.000 0.000 0.500
Nb 0.000 0.500 0.000
Nb 0.500 0.000 0.000
CELL_PARAMETERS angstrom
0.000 5.700 5.700
5.700 0.000 5.700
5.700 5.700 0.000



Entry 11:
! PBE TaAlHg, relaxed; values from VASP
! - symmetry = F-43m (216)
! - crystal system = cubic
! - distance to the lowest polymorph of the same formula (meV/atom) = 61.1
! - magnetization (Bohr magnetons per cell) = 0.00
&SYSTEM
  ibrav = 0, nat = 3, ntyp = 3
/
ATOMIC_SPECIES
Ta 180.95 Ta.upf
Al 26.98 Al.upf
Hg 200.59 Hg.upf
ATOMIC_POSITIONS crystal
Ta 0.000 0.000 0.000
Al 0.750 0.750 0.750
Hg 0.250 0.250 0.250
CELL_PARAMETERS angstrom
0.000 3.229 3.229
3.229 0.000 3.229
3.229 3.229 0.000



Entry 12:
! PBE SrCu2As4, relaxed; values from VASP
! - symmetry = Fddd (70)
! - crystal system = orthorhombic
! - total DFT energy (no corrections) (eV/f.u.) = -28.9
&SYSTEM
  ibrav = 0, nat = 14, ntyp = 3
/
ATOMIC_SPECIES
Sr 87.62 Sr.upf
Cu 63.55 Cu.upf
As 74.92 As.upf
ATOMIC_POSITIONS crystal
Sr 0.125 0.125 0.125
Sr 0.875 0.875 0.875
Cu 0.037 0.037 0.713
Cu 0.287 0.287 0.963
Cu 0.713 0.713 0.037
Cu 0.963 0.963 0.287
As 0.100 0.509 0.385
As 0.385 0.506 0.100
As 0.491 0.900 0.494
As 0.494 0.615 0.491
As 0.506 0.385 0.509
As 0.509 0.100 0.506
As 0.615 0.494 0.900
As 0.900 0.491 0.615
CELL_PARAMETERS angstrom
0.000 4.406 11.013
3.227 0.000 11.013
3.227 4.406 0.000



> Which formula does entry 1 have?

Sr3Sn3Au8



What did the twelfth record say?
! PBE SrCu2As4, relaxed; values from VASP
! - symmetry = Fddd (70)
! - crystal system = orthorhombic
! - total DFT energy (no corrections) (eV/f.u.) = -28.9
&SYSTEM
  ibrav = 0, nat = 14, ntyp = 3
/
ATOMIC_SPECIES
Sr 87.62 Sr.upf
Cu 63.55 Cu.upf
As 74.92 As.upf
ATOMIC_POSITIONS crystal
Sr 0.125 0.125 0.125
Sr 0.875 0.875 0.875
Cu 0.037 0.037 0.713
Cu 0.287 0.287 0.963
Cu 0.713 0.713 0.037
Cu 0.963 0.963 0.287
As 0.100 0.509 0.385
As 0.385 0.506 0.100
As 0.491 0.900 0.494
As 0.494 0.615 0.491
As 0.506 0.385 0.509
As 0.509 0.100 0.506
As 0.615 0.494 0.900
As 0.900 0.491 0.615
CELL_PARAMETERS angstrom
0.000 4.406 11.013
3.227 0.000 11.013
3.227 4.406 0.000



> What is the formula in the sixth record?

CuBi2Sb